No. 1
K2NaCuF6 | Alexandria | PBE | relaxed; formation energy without anion corrections = -2.32 eV/atom; ρ = 3.2 g/cm3
1.0
5.914 0.000 0.000
2.957 5.122 0.000
2.957 1.707 4.829
F Cu K Na
6 1 2 1
direct
0.230 0.770 0.770 F
0.230 0.770 0.230 F
0.770 0.770 0.230 F
0.770 0.230 0.770 F
0.770 0.230 0.230 F
0.230 0.230 0.770 F
0.000 0.000 0.000 Cu
0.750 0.750 0.750 K
0.250 0.250 0.250 K
0.500 0.500 0.500 Na

***

No. 2
K3NaCu2F6 | Alexandria | PBE | relaxed; formation energy without anion corrections = -2.04 eV/atom; ρ = 2.7 g/cm3
1.0
6.341 0.000 0.000
-3.171 5.491 0.000
0.000 0.000 6.839
Cu K F Na
2 3 6 1
direct
0.667 0.333 0.762 Cu
0.333 0.667 0.238 Cu
0.333 0.667 0.694 K
0.667 0.333 0.306 K
0.000 0.000 0.000 K
0.318 0.159 0.718 F
0.841 0.682 0.718 F
0.159 0.318 0.282 F
0.841 0.159 0.718 F
0.159 0.841 0.282 F
0.682 0.841 0.282 F
0.000 0.000 0.500 Na

***

No. 3
K2NdCu3F12 | Alexandria | PBE | relaxed; formation energy without anion corrections = -2.37 eV/atom; density of states at the Fermi level = 2.2 states/eV per cell; ρ = 4.0 g/cm3
1.0
6.866 -0.402 -0.285
3.042 6.169 -0.285
3.042 1.770 5.916
F Cu Nd K
12 3 1 2
direct
0.402 0.868 0.868 F
0.868 0.868 0.402 F
0.736 0.736 0.103 F
0.264 0.897 0.264 F
0.132 0.132 0.598 F
0.736 0.103 0.736 F
0.103 0.736 0.736 F
0.897 0.264 0.264 F
0.132 0.598 0.132 F
0.868 0.402 0.868 F
0.264 0.264 0.897 F
0.598 0.132 0.132 F
0.000 0.000 0.500 Cu
0.500 0.000 0.000 Cu
0.000 0.500 0.000 Cu
0.000 0.000 0.000 Nd
0.387 0.387 0.387 K
0.613 0.613 0.613 K

***

No. 4
K2NdCuF8 | Alexandria | PBE | relaxed; formation energy without anion corrections = -2.75 eV/atom; ρ = 3.6 g/cm3
1.0
-1.453 3.074 -2.220
-3.740 -4.246 -2.669
-4.887 2.555 5.992
F K Nd Cu
8 2 1 1
direct
0.656 0.818 0.036 F
0.038 0.713 0.291 F
0.972 0.140 0.212 F
0.344 0.182 0.964 F
0.962 0.287 0.709 F
0.493 0.805 0.543 F
0.507 0.195 0.457 F
0.028 0.860 0.788 F
0.517 0.471 0.243 K
0.483 0.529 0.757 K
0.000 0.000 0.500 Nd
0.000 0.000 0.000 Cu